Entry from Alexandria via LeMat-Bulk: GdPb3 after structural relaxation (GGA-PBE).

Output
Total DFT energy (no corrections), eV per atom: -6.453
SG: No. 225
Energy of formation from the pure elements, eV/atom: -0.1520

Cell lengths 5.5844, 5.5844, 5.5844 Å; angles 60.00, 60.00, 60.00 degrees
Site moments in Bohr magnetons follow the coordinates.
Positions (direct):
Pb  0.7500  0.7500  0.7500  -0.01
Gd  0.5000  0.5000  0.5000  6.97
Pb  0.2500  0.2500  0.2500  -0.01
Pb  0.0000  0.0000  0.0000  -0.01